Record 1
This record from Alexandria via LeMat-Bulk describes a relaxed LiLa2NdS4 crystal. The functional is PBE.

Cell: 6.987 4.100 7.111 Å, 90.00 109.75 90.00°
Element x y z (fractional)
Li 0.000 0.000 0.000
La 0.500 0.000 0.500
La 0.500 0.500 0.000
Nd 0.000 0.500 0.500
S 0.240 0.000 0.754
S 0.240 0.500 0.243
S 0.760 0.000 0.246
S 0.760 0.500 0.757

Computed properties:
Theoretical density: 4.83 Mg/m³
Formation energy (no corrections): -1964 meV/atom
Energy: -6.094 eV per atom
N(E_F): 0.35 states/eV per atom

Record 2
This record from Alexandria via LeMat-Bulk describes a relaxed Li2La2NdSb2 crystal. The functional is PBE.

Cell: 9.873 9.873 9.873 Å, 28.02 28.02 28.02°
Element x y z (fractional)
Li 0.096 0.096 0.096
Li 0.904 0.904 0.904
La 0.368 0.368 0.368
La 0.632 0.632 0.632
Nd 0.500 0.500 0.500
Sb 0.234 0.234 0.234
Sb 0.766 0.766 0.766

Computed properties:
Theoretical density: 6.01 Mg/m³
Formation energy (no corrections): -642 meV/atom
Energy: -4.456 eV per atom
N(E_F): 0.89 states/eV per atom

Record 3
This record from Alexandria via LeMat-Bulk describes a relaxed LiLaNdSb crystal. The functional is PBE.

Cell: 5.423 5.423 5.423 Å, 60.00 60.00 60.00°
Element x y z (fractional)
Li 0.000 0.000 0.000
La 0.250 0.250 0.250
Nd 0.750 0.750 0.750
Sb 0.500 0.500 0.500

Computed properties:
Theoretical density: 6.07 Mg/m³
Formation energy (no corrections): -525 meV/atom
Energy: -4.458 eV per atom
N(E_F): 0.88 states/eV per atom

Record 4
This record from Alexandria via LeMat-Bulk describes a relaxed LiLaNdSc crystal. The functional is PBE.

Cell: 5.505 5.505 5.505 Å, 60.00 60.00 60.00°
Element x y z (fractional)
Li 0.000 0.000 0.000
La 0.250 0.250 0.250
Nd 0.750 0.750 0.750
Sc 0.500 0.500 0.500

Computed properties:
Formation enthalpy at 0 K: 131 meV/atom
Theoretical density: 4.72 Mg/m³
Energy: -4.354 eV per atom
N(E_F): 0.98 states/eV per atom

Record 5
This record from Alexandria via LeMat-Bulk describes a relaxed LiLa3Nd2Se6 crystal. The functional is PBE.

Cell: 7.379 7.379 7.314 Å, 99.71 99.71 120.14°
Element x y z (fractional)
Li 0.000 0.000 0.000
La 0.168 0.832 0.500
La 0.500 0.500 0.500
La 0.832 0.168 0.500
Nd 0.334 0.666 0.000
Nd 0.666 0.334 0.000
Se 0.079 0.402 0.239
Se 0.242 0.242 0.761
Se 0.402 0.079 0.239
Se 0.598 0.921 0.761
Se 0.758 0.758 0.239
Se 0.921 0.598 0.761

Computed properties:
Theoretical density: 6.08 Mg/m³
Formation energy (no corrections): -1864 meV/atom
Energy: -5.792 eV per atom
N(E_F): 0.51 states/eV per atom

Record 6
This record from Alexandria via LeMat-Bulk describes a relaxed LiLa2NdSe4 crystal. The functional is PBE.

Cell: 7.262 4.254 7.392 Å, 90.00 109.72 90.00°
Element x y z (fractional)
Li 0.000 0.000 0.000
La 0.500 0.000 0.500
La 0.500 0.500 0.000
Nd 0.000 0.500 0.500
Se 0.237 0.500 0.240
Se 0.240 0.000 0.755
Se 0.760 0.000 0.245
Se 0.763 0.500 0.760

Computed properties:
Theoretical density: 5.75 Mg/m³
Formation energy (no corrections): -1828 meV/atom
Energy: -5.637 eV per atom
N(E_F): 0.36 states/eV per atom

Please write out number 1 again, unchanged.
This record from Alexandria via LeMat-Bulk describes a relaxed LiLa2NdS4 crystal. The functional is PBE.

Cell: 6.987 4.100 7.111 Å, 90.00 109.75 90.00°
Element x y z (fractional)
Li 0.000 0.000 0.000
La 0.500 0.000 0.500
La 0.500 0.500 0.000
Nd 0.000 0.500 0.500
S 0.240 0.000 0.754
S 0.240 0.500 0.243
S 0.760 0.000 0.246
S 0.760 0.500 0.757

Computed properties:
Theoretical density: 4.83 Mg/m³
Formation energy (no corrections): -1964 meV/atom
Energy: -6.094 eV per atom
N(E_F): 0.35 states/eV per atom